1.
The following is a PBE-GGA calculation of La4Tb2Tm5 after structural relaxation, from Alexandria.

Unit cell a=12.345 b=12.345 c=8.793 alpha=100.45 beta=100.45 gamma=16.52
Atoms (fractional coordinates):
La1 0.029 0.029 0.193
La2 0.371 0.371 0.966
La3 0.629 0.629 0.034
La4 0.971 0.971 0.807
Tb1 0.231 0.231 0.825
Tb2 0.769 0.769 0.175
Tm1 0.102 0.102 0.680
Tm2 0.187 0.187 0.406
Tm3 0.500 0.500 0.500
Tm4 0.813 0.813 0.594
Tm5 0.898 0.898 0.320

Values from the calculation:
Space group: C2/m (12)
Total magnetization, μB per cell: 0.0
Relative energy among the computed polymorphs, meV per atom: 170

2.
The following is a PBE-GGA calculation of CeGa2Ru3 after structural relaxation, from Alexandria.

Unit cell a=4.595 b=12.815 c=4.494 alpha=90.00 beta=90.00 gamma=90.00
Atoms (fractional coordinates):
Ce1 0.250 0.250 0.014
Ce2 0.750 0.750 0.986
Ga1 0.250 0.555 0.515
Ga2 0.250 0.945 0.515
Ga3 0.750 0.055 0.485
Ga4 0.750 0.445 0.485
Ru1 0.250 0.144 0.519
Ru2 0.250 0.356 0.519
Ru3 0.250 0.750 0.487
Ru4 0.750 0.250 0.513
Ru5 0.750 0.644 0.481
Ru6 0.750 0.856 0.481

Values from the calculation:
Space group: Pmmn (59)
Total magnetization, μB per cell: 0.6

Number 1: VASP energy -4.45 eV/atom. Number 2: VASP energy -6.67 eV/atom.